Density functional theory data (PBE) for a relaxed Rb2NbCoBr6 crystal.

Calculated values
- space group = Fm-3m (225)
- DOS at the Fermi energy (states/eV per cell) = 20.64
- size of the total moment (μB/f.u.) = 4.3
- raw formation energy (eV per atom) = -0.909

Cell lengths 7.527, 7.527, 7.526 Å; angles 60.00, 60.00, 90.00 degrees
Positions (direct):
Rb 0.250 0.750 0.500
Br 0.252 0.252 0.000
Rb 0.750 0.250 0.500
Br 0.252 0.252 0.496
Br 0.748 0.748 0.000
Br 0.748 0.748 0.504
Br 0.252 0.748 0.000
Nb 0.000 0.000 0.000
Co 0.500 0.500 0.000
Br 0.748 0.252 0.000

Density functional theory data (PBE) for a relaxed Nb2CoRuBr crystal.

Calculated values
- space group = P4/mmm (123)
- DOS at the Fermi energy (states/eV per cell) = 5.70
- size of the total moment (μB/f.u.) = 0.6
- raw formation energy (eV per atom) = 1.261

Cell lengths 4.631, 4.413, 4.631 Å; angles 90.00, 90.00, 90.00 degrees
Positions (direct):
Co 0.000 0.000 0.000
Nb 0.000 0.000 0.500
Ru 0.500 0.500 0.500
Br 0.000 0.500 0.000
Nb 0.500 0.000 0.000

Density functional theory data (PBE) for a relaxed NbCo2SnBr crystal.

Calculated values
- space group = P4/mmm (123)
- DOS at the Fermi energy (states/eV per cell) = 4.32
- size of the total moment (μB/f.u.) = 0.4
- raw formation energy (eV per atom) = 0.890

Cell lengths 4.319, 4.895, 4.319 Å; angles 90.00, 90.00, 90.00 degrees
Positions (direct):
Co 0.000 0.000 0.500
Nb 0.000 0.500 0.000
Sn 0.500 0.500 0.500
Co 0.500 0.000 0.000
Br 0.000 0.000 0.000

Density functional theory data (PBE) for a relaxed TaNbCo2Br crystal.

Calculated values
- space group = P4/mmm (123)
- DOS at the Fermi energy (states/eV per cell) = 7.27
- size of the total moment (μB/f.u.) = 3.2
- raw formation energy (eV per atom) = 1.655

Cell lengths 4.646, 5.001, 4.646 Å; angles 90.00, 90.00, 90.00 degrees
Positions (direct):
Nb 0.000 0.000 0.000
Co 0.500 0.000 0.000
Co 0.000 0.000 0.500
Ta 0.000 0.500 0.000
Br 0.500 0.500 0.500

Density functional theory data (PBE) for a relaxed NbVCo2Br crystal.

Calculated values
- space group = P4/mmm (123)
- DOS at the Fermi energy (states/eV per cell) = 7.29
- size of the total moment (μB/f.u.) = 4.5
- raw formation energy (eV per atom) = 1.495

Cell lengths 4.579, 4.994, 4.579 Å; angles 90.00, 90.00, 90.00 degrees
Positions (direct):
V 0.000 0.500 0.000
Co 0.500 0.000 0.000
Br 0.500 0.500 0.500
Nb 0.000 0.000 0.000
Co 0.000 0.000 0.500

Density functional theory data (PBE) for a relaxed Nb2VCoBr crystal.

Calculated values
- space group = P4/mmm (123)
- DOS at the Fermi energy (states/eV per cell) = 5.81
- size of the total moment (μB/f.u.) = 0.0
- raw formation energy (eV per atom) = 0.896

Cell lengths 4.732, 4.315, 4.732 Å; angles 90.00, 90.00, 90.00 degrees
Positions (direct):
Br 0.500 0.500 0.500
Nb 0.500 0.000 0.000
Nb 0.000 0.000 0.500
Co 0.000 0.000 0.000
V 0.000 0.500 0.000

Density functional theory data (PBE) for a relaxed Nd7CoBr12 crystal.

Calculated values
- space group = R-3 (148)
- DOS at the Fermi energy (states/eV per cell) = 6.63
- size of the total moment (μB/f.u.) = 0.0
- raw formation energy (eV per atom) = -1.583

Cell lengths 9.507, 9.507, 9.507 Å; angles 106.53, 106.53, 106.53 degrees
Positions (direct):
Br 0.781 0.928 0.321
Br 0.072 0.679 0.219
Br 0.461 0.167 0.380
Nd 0.981 0.695 0.899
Br 0.380 0.461 0.167
Br 0.679 0.219 0.072
Br 0.539 0.833 0.620
Br 0.321 0.781 0.928
Br 0.833 0.620 0.539
Nd 0.899 0.981 0.695
Nd 0.101 0.019 0.305
Nd 0.695 0.899 0.981
Nd 0.019 0.305 0.101
Nd 0.305 0.101 0.019
Br 0.620 0.539 0.833
Br 0.219 0.072 0.679
Co 0.000 0.000 0.000
Br 0.928 0.321 0.781
Nd 0.500 0.500 0.500
Br 0.167 0.380 0.461

Density functional theory data (PBE) for a relaxed Nd3Co3Br crystal.

Calculated values
- space group = P6_3/m (176)
- DOS at the Fermi energy (states/eV per cell) = 16.27
- size of the total moment (μB/f.u.) = 1.2
- raw formation energy (eV per atom) = -0.359

Cell lengths 3.917, 9.887, 9.887 Å; angles 120.00, 90.00, 90.00 degrees
Positions (direct):
Co 0.750 0.129 0.971
Co 0.250 0.871 0.029
Nd 0.250 0.290 0.912
Co 0.750 0.029 0.158
Co 0.750 0.842 0.871
Nd 0.750 0.710 0.088
Nd 0.750 0.912 0.621
Br 0.750 0.333 0.667
Nd 0.250 0.621 0.710
Co 0.250 0.971 0.842
Br 0.250 0.667 0.333
Nd 0.750 0.379 0.290
Co 0.250 0.158 0.129
Nd 0.250 0.088 0.379

Density functional theory data (PBE) for a relaxed NdCoBr crystal.

Calculated values
- space group = R-3m (166)
- DOS at the Fermi energy (states/eV per cell) = 4.08
- size of the total moment (μB/f.u.) = 0.3
- raw formation energy (eV per atom) = -0.956

Cell lengths 4.010, 4.010, 12.017 Å; angles 80.40, 80.40, 60.00 degrees
Positions (direct):
Br 0.277 0.277 0.168
Br 0.723 0.723 0.832
Nd 0.555 0.555 0.336
Nd 0.445 0.445 0.664
Co 0.835 0.835 0.496
Co 0.165 0.165 0.504

Density functional theory data (PBE) for a relaxed Nd3CoBr2 crystal.

Calculated values
- space group = Immm (71)
- DOS at the Fermi energy (states/eV per cell) = 4.33
- size of the total moment (μB/f.u.) = 0.5
- raw formation energy (eV per atom) = -0.880

Cell lengths 3.871, 6.030, 8.045 Å; angles 112.01, 103.92, 90.00 degrees
Positions (direct):
Br 0.679 0.179 0.359
Nd 0.625 0.625 0.250
Br 0.321 0.821 0.641
Nd 0.000 0.000 0.000
Nd 0.375 0.375 0.750
Co 0.000 0.500 0.000

Density functional theory data (PBE) for a relaxed Nd6Co2NiBr3 crystal.

Calculated values
- space group = C2/m (12)
- DOS at the Fermi energy (states/eV per cell) = 5.89
- size of the total moment (μB/f.u.) = 0.0
- raw formation energy (eV per atom) = -0.756

Cell lengths 4.027, 9.071, 9.926 Å; angles 111.93, 101.70, 90.00 degrees
Positions (direct):
Nd 0.985 0.777 0.970
Br 0.166 0.833 0.333
Br 0.834 0.167 0.667
Nd 0.320 0.450 0.639
Nd 0.657 0.119 0.314
Ni 0.500 0.000 0.000
Co 0.166 0.331 0.332
Nd 0.680 0.550 0.361
Nd 0.015 0.223 0.030
Nd 0.343 0.881 0.686
Br 0.500 0.500 0.000
Co 0.834 0.669 0.668

Density functional theory data (PBE) for a relaxed Nd8Co3NiBr4 crystal.

Calculated values
- space group = R-3m (166)
- DOS at the Fermi energy (states/eV per cell) = 7.22
- size of the total moment (μB/f.u.) = 0.0
- raw formation energy (eV per atom) = -0.753

Cell lengths 8.038, 9.075, 8.039 Å; angles 116.32, 120.00, 90.00 degrees
Positions (direct):
Nd 0.726 0.692 0.960
Ni 0.000 0.500 0.000
Br 0.000 0.000 0.000
Co 0.500 0.500 0.000
Nd 0.234 0.692 0.960
Br 0.500 0.000 0.000
Co 0.500 0.500 0.500
Nd 0.274 0.308 0.040
Br 0.000 0.000 0.500
Br 0.500 0.000 0.500
Nd 0.766 0.308 0.040
Nd 0.268 0.306 0.537
Nd 0.732 0.694 0.463
Co 0.000 0.500 0.500
Nd 0.766 0.308 0.533
Nd 0.234 0.692 0.467

Density functional theory data (PBE) for a relaxed Nd4CoNiBr2 crystal.

Calculated values
- space group = P2/m (10)
- DOS at the Fermi energy (states/eV per cell) = 4.62
- size of the total moment (μB/f.u.) = 0.0
- raw formation energy (eV per atom) = -0.771

Cell lengths 4.042, 7.003, 8.121 Å; angles 106.77, 90.00, 90.00 degrees
Positions (direct):
Ni 0.000 0.000 0.000
Nd 0.500 0.237 0.192
Nd 0.000 0.274 0.808
Br 0.500 0.000 0.500
Nd 0.000 0.726 0.192
Co 0.500 0.500 0.000
Br 0.000 0.500 0.500
Nd 0.500 0.763 0.808

Density functional theory data (PBE) for a relaxed Nd8CoNi3Br4 crystal.

Calculated values
- space group = R-3m (166)
- DOS at the Fermi energy (states/eV per cell) = 11.50
- size of the total moment (μB/f.u.) = 0.0
- raw formation energy (eV per atom) = -0.789

Cell lengths 8.121, 9.062, 8.122 Å; angles 116.62, 119.99, 90.00 degrees
Positions (direct):
Br 0.500 0.000 0.000
Ni 0.500 0.500 0.000
Co 0.000 0.500 0.000
Ni 0.000 0.500 0.500
Nd 0.228 0.693 0.965
Nd 0.264 0.307 0.035
Nd 0.772 0.307 0.543
Nd 0.269 0.307 0.538
Nd 0.731 0.693 0.462
Ni 0.500 0.500 0.500
Br 0.500 0.000 0.500
Nd 0.228 0.693 0.457
Br 0.000 0.000 0.500
Nd 0.772 0.307 0.035
Nd 0.736 0.693 0.965
Br 0.000 0.000 0.000

Density functional theory data (PBE) for a relaxed Nd6CoOs2Br3 crystal.

Calculated values
- space group = C2/m (12)
- DOS at the Fermi energy (states/eV per cell) = 5.65
- size of the total moment (μB/f.u.) = 0.0
- raw formation energy (eV per atom) = -0.663

Cell lengths 7.058, 7.058, 8.206 Å; angles 98.25, 98.25, 119.97 degrees
Positions (direct):
Os 0.666 0.334 0.000
Nd 0.605 0.935 0.804
Br 0.500 0.500 0.500
Nd 0.263 0.263 0.803
Br 0.168 0.832 0.500
Br 0.832 0.168 0.500
Nd 0.935 0.605 0.804
Nd 0.065 0.395 0.196
Nd 0.395 0.065 0.196
Co 0.000 0.000 0.000
Nd 0.737 0.737 0.197
Os 0.334 0.666 0.000

Density functional theory data (PBE) for a relaxed Nd6Co2OsBr3 crystal.

Calculated values
- space group = C2/m (12)
- DOS at the Fermi energy (states/eV per cell) = 5.04
- size of the total moment (μB/f.u.) = 0.0
- raw formation energy (eV per atom) = -0.697

Cell lengths 4.030, 9.141, 9.977 Å; angles 112.45, 101.65, 90.00 degrees
Positions (direct):
Nd 0.680 0.553 0.359
Os 0.500 0.000 0.000
Br 0.834 0.166 0.668
Co 0.170 0.340 0.340
Nd 0.344 0.882 0.688
Nd 0.987 0.775 0.973
Co 0.830 0.660 0.660
Nd 0.013 0.225 0.027
Nd 0.656 0.118 0.312
Br 0.500 0.500 0.000
Br 0.166 0.834 0.332
Nd 0.320 0.447 0.641

Density functional theory data (PBE) for a relaxed Nd8Co3OsBr4 crystal.

Calculated values
- space group = C2/m (12)
- DOS at the Fermi energy (states/eV per cell) = 6.55
- size of the total moment (μB/f.u.) = 0.0
- raw formation energy (eV per atom) = -0.705

Cell lengths 8.029, 9.134, 8.041 Å; angles 116.20, 119.95, 90.00 degrees
Positions (direct):
Co 0.500 0.500 0.500
Br 0.000 0.000 0.500
Co 0.500 0.500 0.000
Nd 0.234 0.696 0.963
Br 0.500 0.000 0.500
Br 0.500 0.000 0.000
Os 0.000 0.500 0.000
Nd 0.766 0.304 0.037
Nd 0.729 0.696 0.963
Nd 0.730 0.690 0.460
Br 0.000 0.000 0.000
Nd 0.270 0.310 0.540
Nd 0.271 0.304 0.037
Nd 0.766 0.304 0.532
Co 0.000 0.500 0.500
Nd 0.234 0.696 0.468

Density functional theory data (PBE) for a relaxed Nd4CoPBr2 crystal.

Calculated values
- space group = P2/m (10)
- DOS at the Fermi energy (states/eV per cell) = 5.10
- size of the total moment (μB/f.u.) = 0.0
- raw formation energy (eV per atom) = -1.071

Cell lengths 3.988, 7.441, 7.829 Å; angles 106.93, 90.00, 90.00 degrees
Positions (direct):
Br 0.000 0.500 0.500
Nd 0.500 0.211 0.191
Nd 0.000 0.740 0.203
Nd 0.000 0.260 0.797
P 0.500 0.500 0.000
Br 0.500 0.000 0.500
Co 0.000 0.000 0.000
Nd 0.500 0.789 0.809

Density functional theory data (PBE) for a relaxed Nd8Co3PBr4 crystal.

Calculated values
- space group = R-3m (166)
- DOS at the Fermi energy (states/eV per cell) = 10.14
- size of the total moment (μB/f.u.) = 0.0
- raw formation energy (eV per atom) = -0.876

Cell lengths 8.160, 9.013, 8.161 Å; angles 116.94, 119.99, 90.00 degrees
Positions (direct):
Co 0.500 0.500 0.500
Nd 0.719 0.694 0.957
Nd 0.269 0.306 0.537
Co 0.000 0.500 0.500
Br 0.500 0.000 0.500
Co 0.500 0.500 0.000
Nd 0.762 0.306 0.524
Br 0.500 0.000 0.000
P 0.000 0.500 0.000
Br 0.000 0.000 0.500
Nd 0.238 0.694 0.476
Br 0.000 0.000 0.000
Nd 0.281 0.306 0.043
Nd 0.731 0.694 0.463
Nd 0.238 0.694 0.957
Nd 0.762 0.306 0.043

Density functional theory data (PBE) for a relaxed Nd6Co2PBr3 crystal.

Calculated values
- space group = C2/m (12)
- DOS at the Fermi energy (states/eV per cell) = 3.28
- size of the total moment (μB/f.u.) = 0.0
- raw formation energy (eV per atom) = -0.954

Cell lengths 7.092, 7.092, 8.007 Å; angles 98.44, 98.44, 119.98 degrees
Positions (direct):
Nd 0.935 0.587 0.805
Co 0.333 0.667 0.000
Co 0.667 0.333 0.000
Nd 0.717 0.717 0.195
Br 0.837 0.163 0.500
P 0.000 0.000 0.000
Nd 0.413 0.065 0.195
Nd 0.283 0.283 0.805
Nd 0.587 0.935 0.805
Br 0.163 0.837 0.500
Nd 0.065 0.413 0.195
Br 0.500 0.500 0.500

Density functional theory data (PBE) for a relaxed Nd8CoPd3Br4 crystal.

Calculated values
- space group = C2/m (12)
- DOS at the Fermi energy (states/eV per cell) = 11.46
- size of the total moment (μB/f.u.) = 0.0
- raw formation energy (eV per atom) = -0.936

Cell lengths 8.349, 9.142, 8.349 Å; angles 117.21, 120.00, 90.00 degrees
Positions (direct):
Br 0.000 0.000 0.000
Nd 0.224 0.696 0.973
Nd 0.734 0.701 0.468
Nd 0.251 0.304 0.027
Nd 0.776 0.304 0.027
Nd 0.776 0.304 0.552
Nd 0.749 0.696 0.973
Pd 0.500 0.500 0.500
Pd 0.500 0.500 0.000
Nd 0.224 0.696 0.448
Br 0.500 0.000 0.500
Br 0.000 0.000 0.500
Pd 0.000 0.500 0.500
Br 0.500 0.000 0.000
Co 0.000 0.500 0.000
Nd 0.266 0.299 0.532